[1]
This record from Alexandria describes a relaxed structure of Ge3TeMo. The functional is PBE-GGA.

Results
For the magnetic moment, the calculation gives 1.69 μB per cell. The value obtained for the distance to the lowest polymorph of the same formula is 0 meV per atom. For the volume, the calculation gives 123 Å³/cell. The calculation puts the uncorrected formation energy at 2.12 eV/f.u.

abc: 4.976 4.976 4.976
angles: 90.00 90.00 90.00
Space group Pm-3m (No. 221)
Unique sites:
Ge  0.000  0.000  0.500
Te  0.500  0.500  0.500
Mo  0.000  0.000  0.000

=====

[2]
This record from Alexandria describes a relaxed structure of MgScRu. The functional is PBE-GGA.

Results
As for the energy relative to the elements: 0.02 eV per atom. For the magnetic moment, the calculation gives 0.00 μB per cell. For the volume, the calculation gives 247 Å³/cell.

abc: 6.277 6.277 6.277
angles: 90.00 90.00 90.00
Space group F-43m (No. 216)
Unique sites:
Mg  0.000  0.000  0.000
Sc  0.000  0.000  0.500
Ru  0.250  0.250  0.750

=====

[3]
This record from Alexandria describes a relaxed structure of Sr2LaCeN4. The functional is PBE-GGA.

Results
For the magnetic moment, the calculation gives 0.90 μB per cell. For the volume, the calculation gives 145 Å³/cell. The calculation puts the uncorrected formation energy at -7.87 eV/f.u.

abc: 6.291 3.795 6.321
angles: 90.00 106.40 90.00
Space group P2/m (No. 10)
Unique sites:
Sr  0.000  0.000  0.000
Sr  0.500  0.500  0.000
La  0.000  0.500  0.500
Ce  0.500  0.000  0.500
N  0.261  0.500  0.280
N  0.265  0.000  0.713

=====

[4]
This record from Alexandria describes a relaxed structure of Pr2SmEr7. The functional is PBE-GGA.

Results
As for the energy relative to the elements: 0.06 eV per atom. For the magnetic moment, the calculation gives 0.00 μB per cell. The value obtained for the distance to the lowest polymorph of the same formula is 0 meV per atom. For the volume, the calculation gives 641 Å³/cell.

abc: 18.147 5.445 7.028
angles: 90.00 112.71 90.00
Space group C2/m (No. 12)
Unique sites:
Pr  0.198  0.000  0.199
Sm  0.000  0.000  0.500
Er  0.000  0.000  0.000
Er  0.107  0.500  0.358
Er  0.107  0.500  0.857
Er  0.199  0.000  0.700

=====

[5]
This record from Alexandria describes a relaxed structure of KSrW2. The functional is PBE-GGA.

Results
As for the energy relative to the elements: 1.24 eV per atom. For the magnetic moment, the calculation gives 0.35 μB per cell. The value obtained for the distance to the lowest polymorph of the same formula is 409 meV per atom. For the volume, the calculation gives 235 Å³/cell.

abc: 3.443 5.937 11.509
angles: 90.00 90.00 90.00
Space group Imm2 (No. 44)
Unique sites:
K  0.000  0.000  0.000
Sr  0.000  0.500  0.789
W  0.000  0.000  0.582
W  0.000  0.500  0.227

=====

[6]
This record from Alexandria describes a relaxed structure of DyZn2Sn2. The functional is PBE-GGA.

Results
As for the energy relative to the elements: -0.35 eV per atom. For the magnetic moment, the calculation gives 0.00 μB per cell. For the volume, the calculation gives 432 Å³/cell.

abc: 4.369 22.542 4.381
angles: 90.00 90.00 90.00
Space group Cmcm (No. 63)
Unique sites:
Dy  0.000  0.140  0.250
Zn  0.000  0.032  0.750
Zn  0.000  0.463  0.750
Sn  0.000  0.251  0.750
Sn  0.000  0.381  0.250

=====

[7]
This record from Alexandria describes a relaxed structure of Ba2DyCrN4. The functional is PBE-GGA.

Results
For the magnetic moment, the calculation gives 0.00 μB per cell. For the volume, the calculation gives 1421 Å³/cell. The calculation puts the uncorrected formation energy at -3.83 eV/f.u.

abc: 5.661 11.652 21.545
angles: 90.00 90.00 90.00
Space group Fddd (No. 70, origin choice 2)
Unique sites:
Ba  0.125  0.125  0.310
Dy  0.125  0.125  0.125
Cr  0.125  0.125  0.625
N  0.069  0.283  0.833

=====

[8]
This record from Alexandria describes a relaxed structure of DyTm3Co4. The functional is PBE-GGA.

Results
As for the energy relative to the elements: -0.20 eV per atom. For the magnetic moment, the calculation gives 1.41 μB per cell. For the volume, the calculation gives 144 Å³/cell.

abc: 4.659 4.659 6.621
angles: 90.00 90.00 90.00
Space group P4/mmm (No. 123)
Unique sites:
Dy  0.000  0.000  0.000
Tm  0.000  0.000  0.500
Tm  0.500  0.500  0.000
Tm  0.500  0.500  0.500
Co  0.000  0.500  0.252

=====

[9]
This record from Alexandria describes a relaxed structure of LiEuLuNi. The functional is PBE-GGA.

Results
As for the energy relative to the elements: -0.03 eV per atom. For the magnetic moment, the calculation gives 28.41 μB per cell. For the volume, the calculation gives 345 Å³/cell.

abc: 7.014 7.014 7.014
angles: 90.00 90.00 90.00
Space group F-43m (No. 216)
Unique sites:
Li  0.000  0.000  0.000
Eu  0.250  0.250  0.250
Lu  0.250  0.250  0.750
Ni  0.000  0.000  0.500

=====

[10]
This record from Alexandria describes a relaxed structure of Tl3Ag2Br2Cl5. The functional is PBE-GGA.

Results
For the magnetic moment, the calculation gives 0.00 μB per cell. For the volume, the calculation gives 703 Å³/cell. The calculation puts the uncorrected formation energy at -7.89 eV/f.u.

abc: 5.164 5.164 26.373
angles: 90.00 90.00 90.00
Space group I4/mmm (No. 139)
Unique sites:
Tl  0.000  0.000  0.000
Tl  0.000  0.000  0.177
Ag  0.000  0.000  0.404
Br  0.000  0.000  0.302
Cl  0.000  0.000  0.500
Cl  0.000  0.500  0.093

=====

[11]
This record from Alexandria describes a relaxed structure of RbHgBr3. The functional is PBE-GGA.

Results
For the magnetic moment, the calculation gives 0.00 μB per cell. For the volume, the calculation gives 797 Å³/cell. The calculation puts the uncorrected formation energy at -4.91 eV/f.u.

abc: 14.331 10.484 5.304
angles: 90.00 90.39 90.00
Space group C2/m (No. 12)
Unique sites:
Rb  0.227  0.000  0.259
Hg  0.000  0.309  0.500
Br  0.102  0.500  0.254
Br  0.135  0.200  0.749

=====

[12]
This record from Alexandria describes a relaxed structure of InMo2Os. The functional is PBE-GGA.

Results
As for the energy relative to the elements: 0.40 eV per atom. For the magnetic moment, the calculation gives 0.00 μB per cell. For the volume, the calculation gives 134 Å³/cell.

abc: 3.157 4.676 9.088
angles: 90.00 90.00 90.00
Space group Cmm2 (No. 35)
Unique sites:
In  0.000  0.000  0.000
Mo  0.000  0.000  0.506
Mo  0.000  0.500  0.268
Os  0.000  0.500  0.738

=====

One value per record, in order, for DFT total energy: -5.140 -5.718 -6.924 -4.566 -5.933 -3.383 -6.900 -6.008 -5.657 -2.772 -2.240 -8.513 eV/atom.